{
  "formula": "Na2GeTeO6",
  "functional": "PBE-GGA",
  "state": "relaxed",
  "cell": [[5.101, 0.000, 0.000], [0.000, 5.101, 0.000], [0.000, 0.000, 5.136]],
  "species": ["Na", "Na", "Ge", "Te", "O", "O", "O", "O", "O", "O"],
  "fractional_positions": [[0.000, 0.500, 0.000], [0.500, 0.000, 0.000], [0.000, 0.000, 0.521], [0.500, 0.500, 0.542], [0.000, 0.000, 0.188], [0.247, 0.247, 0.664], [0.247, 0.753, 0.664], [0.500, 0.500, 0.183], [0.753, 0.247, 0.664], [0.753, 0.753, 0.664]],
  "e_form_raw_ev_per_atom": -1.301,
  "density_g_cm3": 4.3,
  "e_above_lowest_polymorph_ev_per_fu": 2.30,
  "magmom_total_mub_per_cell": 0.00
}